Nd2Y2Tl: optimized geometry, PBE-GGA.

Summary:
space group: No. 12

Cell lengths 8.600, 6.453, 9.060 Å; angles 69.64, 58.53, 48.21 degrees
Fractional positions:
Nd  0.736  0.000  0.426
Nd  0.606  0.000  0.116
Nd  0.394  0.000  0.884
Nd  0.264  0.000  0.574
Y  0.668  0.368  0.719
Y  0.332  0.632  0.281
Y  0.036  0.632  0.719
Y  0.964  0.368  0.281
Tl  0.168  0.665  0.000
Tl  0.832  0.335  0.000



NdY2Tl4: optimized geometry, PBE-GGA.

Summary:
space group: No. 139

Cell lengths 6.559, 6.559, 6.559 Å; angles 112.04, 108.20, 108.20 degrees
Each line ends with the local moment (μB).
Fractional positions:
Nd  0.000  0.000  0.000  0.07
Y  0.500  0.500  0.000  0.10
Y  0.500  0.000  0.500  0.10
Tl  0.500  0.000  0.000  0.01
Tl  0.500  0.500  0.500  0.01
Tl  0.000  0.000  0.500  0.01
Tl  0.000  0.500  0.000  0.01



NdY2Tl: optimized geometry, PBE-GGA.

Summary:
space group: No. 123
E above lowest polymorph: 0.0037 eV/atom

Cell lengths 3.669, 3.669, 9.160 Å; angles 90.00, 90.00, 90.00 degrees
Fractional positions:
Y  0.000  0.000  0.778
Y  0.000  0.000  0.222
Tl  0.500  0.500  0.000
Nd  0.500  0.500  0.500



NdY3Tl: optimized geometry, PBE-GGA.

Summary:
space group: No. 63
E above lowest polymorph: 0.0056 eV/atom

Cell lengths 4.910, 4.889, 12.953 Å; angles 90.00, 79.07, 90.00 degrees
Each line ends with the local moment (μB).
Fractional positions:
Nd  0.473  0.750  0.702  0.14
Nd  0.175  0.250  0.298  0.14
Y  0.772  0.250  0.105  0.04
Y  0.372  0.250  0.904  0.04
Y  0.575  0.250  0.499  0.22
Y  0.276  0.750  0.096  0.04
Y  0.877  0.750  0.895  0.04
Y  0.074  0.750  0.501  0.22
Tl  0.671  0.750  0.307  0.00
Tl  0.978  0.250  0.693  0.00



Nd7YTl3: optimized geometry, PBE-GGA.

Summary:
space group: No. 12

Cell lengths 5.983, 8.450, 8.450 Å; angles 92.42, 110.49, 110.49 degrees
Fractional positions:
Nd  0.165  0.166  0.166
Nd  0.319  0.032  0.607
Nd  0.681  0.393  0.968
Nd  0.319  0.607  0.032
Nd  0.000  0.500  0.500
Nd  0.681  0.968  0.393
Nd  0.835  0.834  0.834
Y  0.500  0.500  0.500
Tl  0.000  0.762  0.238
Tl  0.500  0.000  0.000
Tl  0.000  0.238  0.762



Nd2Y5Tl: optimized geometry, PBE-GGA.

Summary:
space group: No. 1

Cell lengths 12.459, 12.986, 14.031 Å; angles 41.90, 40.26, 78.29 degrees
Fractional positions:
Nd  0.433  0.953  0.084
Nd  0.657  0.585  0.868
Nd  0.650  0.718  0.148
Nd  0.737  0.411  0.747
Y  0.480  0.385  0.720
Y  0.255  0.542  0.303
Y  0.164  0.676  0.045
Y  0.891  0.916  0.264
Y  0.580  0.202  0.579
Y  0.094  0.221  0.305
Y  0.948  0.672  0.807
Y  0.183  0.117  0.713
Y  0.456  0.773  0.463
Y  0.900  0.307  0.957
Tl  0.823  0.085  0.375
Tl  0.248  0.937  0.620



Nd3Y2Tl2: optimized geometry, PBE-GGA.

Summary:
space group: No. 12
E above lowest polymorph: 0.0000 eV/atom

Cell lengths 5.538, 5.531, 8.784 Å; angles 108.43, 90.00, 120.04 degrees
Fractional positions:
Nd  0.500  0.000  0.000
Nd  0.657  0.313  0.470
Nd  0.343  0.687  0.530
Y  0.925  0.850  0.276
Y  0.075  0.150  0.724
Tl  0.786  0.572  0.857
Tl  0.214  0.428  0.143



Nd5YTl8: optimized geometry, PBE-GGA.

Summary:
space group: No. 82

Cell lengths 8.212, 8.212, 8.212 Å; angles 109.10, 110.22, 109.10 degrees
Fractional positions:
Nd  0.994  0.365  0.118
Nd  0.882  0.876  0.247
Nd  0.753  0.635  0.629
Nd  0.500  0.000  0.500
Nd  0.371  0.124  0.006
Y  0.250  0.500  0.750
Tl  0.125  0.737  0.034
Tl  0.966  0.090  0.703
Tl  0.796  0.257  0.385
Tl  0.615  0.411  0.871
Tl  0.460  0.589  0.204
Tl  0.613  0.910  0.875
Tl  0.297  0.263  0.387
Tl  0.129  0.743  0.540



Number 1: energy of formation -88 meV per atom, D(E_F) 10.2 states/eV per cell. Number 2: energy of formation -243 meV per atom, D(E_F) 7.0 states/eV per cell. Number 3: energy of formation -193 meV per atom, D(E_F) 4.2 states/eV per cell. Number 4: energy of formation -122 meV per atom, D(E_F) 14.0 states/eV per cell. Number 5: energy of formation -14 meV per atom, D(E_F) 15.6 states/eV per cell. Number 6: energy of formation 0 meV per atom, D(E_F) 22.1 states/eV per cell. Number 7: energy of formation -212 meV per atom, D(E_F) 6.9 states/eV per cell. Number 8: energy of formation -298 meV per atom, D(E_F) 13.1 states/eV per cell.